# PrPaIrN4

PrPaIrN4 after structural relaxation (GGA-PBE, the Alexandria database).

Calculated density   10.936 g cm⁻³
M_tot   0.000 μB/f.u.
Formation energy (no corrections)   -734 meV per atom

The structure in CIF format:
```
data_PrPaIrN4
_chemical_formula_sum 'Pr2 Pa2 Ir2 N8'
_space_group_name_H-M_alt 'I 4 m m'
_space_group_IT_number 107
_space_group_name_Hall 'I 4 -2'
_cell_length_a 3.9258
_cell_length_b 3.9258
_cell_length_c 12.2207
_cell_angle_alpha 90.00
_cell_angle_beta 90.00
_cell_angle_gamma 90.00
loop_
_atom_site_label
_atom_site_fract_x
_atom_site_fract_y
_atom_site_fract_z
Pr1 0.0000 0.0000 0.0000
Pa1 0.0000 0.0000 0.7149
Ir1 0.0000 0.0000 0.3565
N1 0.0000 0.0000 0.1848
N2 0.0000 0.0000 0.5379
N3 0.0000 0.5000 0.3336
```

=====

# TbTm3C2

TbTm3C2 after structural relaxation (GGA-PBE, the Alexandria database).

Total energy   -153.63 eV per cell
Calculated density   8.646 g cm⁻³
M_tot   0.834 μB/f.u.

The structure in CIF format:
```
data_TbTm3C2
_chemical_formula_sum 'Tb4 Tm12 C8'
_space_group_name_H-M_alt 'C 1 2/m 1'
_space_group_IT_number 12
_cell_length_a 12.3279
_cell_length_b 7.1195
_cell_length_c 7.3090
_cell_angle_alpha 90.00
_cell_angle_beta 124.30
_cell_angle_gamma 90.00
loop_
_space_group_symop_operation_xyz
'x,y,z'
'-x,-y,-z'
'-x,y,-z'
'x,-y,z'
'x+1/2,y+1/2,z'
'-x+1/2,-y+1/2,-z'
'-x+1/2,y+1/2,-z'
'x+1/2,-y+1/2,z'
loop_
_atom_site_label
_atom_site_fract_x
_atom_site_fract_y
_atom_site_fract_z
Tb1 0.2435 0.0000 0.2297
Tm1 0.0111 0.2491 0.7830
Tm2 0.2397 0.5000 0.2169
C1 0.0000 0.0000 0.0000
C2 0.0000 0.5000 0.0000
C3 0.2500 0.2500 0.0000
```

=====

# Sr2TcPt

Sr2TcPt after structural relaxation (GGA-PBE, the Alexandria database).

Calculated density   6.856 g cm⁻³
M_tot   2.334 μB/f.u.
E above lowest polymorph   58.36 kJ per mole of atoms

The structure in CIF format:
```
data_Sr2TcPt
_chemical_formula_sum 'Sr6 Tc3 Pt3'
_space_group_name_H-M_alt 'R -3 m'
_space_group_IT_number 166
_space_group_name_Hall '-R 3 2"'
_cell_length_a 3.8464
_cell_length_b 3.8464
_cell_length_c 26.5583
_cell_angle_alpha 90.00
_cell_angle_beta 90.00
_cell_angle_gamma 120.00
loop_
_atom_site_label
_atom_site_fract_x
_atom_site_fract_y
_atom_site_fract_z
Sr1 0.0000 0.0000 0.2412
Tc1 0.0000 0.0000 0.0000
Pt1 0.0000 0.0000 0.5000
```

=====

# Cs2InGa10

Cs2InGa10 after structural relaxation (GGA-PBE, the Alexandria database).

Total energy   -70.53 eV per cell
Calculated density   4.530 g cm⁻³
M_tot   0.000 μB/f.u.

The structure in CIF format:
```
data_Cs2InGa10
_chemical_formula_sum 'Cs4 In2 Ga20'
_space_group_name_H-M_alt 'P b a m'
_space_group_IT_number 55
_cell_length_a 8.1155
_cell_length_b 15.8197
_cell_length_c 6.1556
_cell_angle_alpha 90.00
_cell_angle_beta 90.00
_cell_angle_gamma 90.00
loop_
_space_group_symop_operation_xyz
'x,y,z'
'-x,-y,-z'
'-x,-y,z'
'x,y,-z'
'x+1/2,-y+1/2,-z'
'-x+1/2,y+1/2,z'
'-x+1/2,y+1/2,-z'
'x+1/2,-y+1/2,z'
loop_
_atom_site_label
_atom_site_fract_x
_atom_site_fract_y
_atom_site_fract_z
Cs1 0.1711 0.1370 0.0000
In1 0.0000 0.5000 0.5000
Ga1 0.0016 0.6813 0.5000
Ga2 0.1313 0.9620 0.5000
Ga3 0.1752 0.3965 0.2002
Ga4 0.1872 0.7995 0.5000
```

=====

# Pm4HoTe7

Pm4HoTe7 after structural relaxation (GGA-PBE, the Alexandria database).

Calculated density   6.684 g cm⁻³
M_tot   0.000 μB/f.u.
Formation energy (no corrections)   -1418 meV per atom

The structure in CIF format:
```
data_Pm4HoTe7
_chemical_formula_sum 'Pm8 Ho2 Te14'
_space_group_name_H-M_alt 'C 1 m 1'
_space_group_IT_number 8
_cell_length_a 14.5569
_cell_length_b 4.3192
_cell_length_c 13.3715
_cell_angle_alpha 90.00
_cell_angle_beta 104.50
_cell_angle_gamma 90.00
loop_
_space_group_symop_operation_xyz
'x,y,z'
'x,-y,z'
'x+1/2,y+1/2,z'
'x+1/2,-y+1/2,z'
loop_
_atom_site_label
_atom_site_fract_x
_atom_site_fract_y
_atom_site_fract_z
Pm1 0.0000 0.0000 0.0000
Pm2 0.0859 0.5000 0.3840
Pm3 0.1854 0.0000 0.7645
Pm4 0.3852 0.5000 0.5722
Ho1 0.2708 0.5000 0.1503
Te1 0.0471 0.5000 0.6229
Te2 0.1301 0.5000 0.9282
Te3 0.1493 0.0000 0.2238
Te4 0.2232 0.0000 0.5255
Te5 0.3488 0.5000 0.7906
Te6 0.3825 0.0000 0.0773
Te7 0.4213 0.5000 0.3533
```

=====

# SrMg6Hg12

SrMg6Hg12 after structural relaxation (GGA-PBE, the Alexandria database).

Calculated density   9.135 g cm⁻³
M_tot   0.000 μB/f.u.
E above lowest polymorph   2.26 kJ per mole of atoms

The structure in CIF format:
```
data_SrMg6Hg12
_chemical_formula_sum 'Sr3 Mg18 Hg36'
_space_group_name_H-M_alt 'R -3 m'
_space_group_IT_number 166
_space_group_name_Hall '-R 3 2"'
_cell_length_a 13.2070
_cell_length_b 13.2070
_cell_length_c 9.5323
_cell_angle_alpha 90.00
_cell_angle_beta 90.00
_cell_angle_gamma 120.00
loop_
_atom_site_label
_atom_site_fract_x
_atom_site_fract_y
_atom_site_fract_z
Sr1 0.0000 0.0000 0.0000
Mg1 0.0579 0.5290 0.2384
Hg1 0.0000 0.3856 0.5000
Hg2 0.0823 0.1646 0.2978
```

=====

# SmCoSiC

SmCoSiC after structural relaxation (GGA-PBE, the Alexandria database).

Calculated density   6.875 g cm⁻³
M_tot   0.000 μB/f.u.
Formation energy (no corrections)   -463 meV per atom

The structure in CIF format:
```
data_SmCoSiC
_chemical_formula_sum 'Sm2 Co2 Si2 C2'
_space_group_name_H-M_alt 'P 4/n m m'
_space_group_IT_number 129
_cell_length_a 3.7784
_cell_length_b 3.7784
_cell_length_c 8.4388
_cell_angle_alpha 90.00
_cell_angle_beta 90.00
_cell_angle_gamma 90.00
loop_
_space_group_symop_operation_xyz
'x,y,z'
'-x,-y,-z'
'-y+1/2,x,z'
'y+1/2,-x,-z'
'-x+1/2,-y+1/2,z'
'x+1/2,y+1/2,-z'
'y,-x+1/2,z'
'-y,x+1/2,-z'
'x+1/2,-y,-z'
'-x+1/2,y,z'
'-y,-x,-z'
'y,x,z'
'-x,y+1/2,-z'
'x,-y+1/2,z'
'y+1/2,x+1/2,-z'
'-y+1/2,-x+1/2,z'
loop_
_atom_site_label
_atom_site_fract_x
_atom_site_fract_y
_atom_site_fract_z
Sm1 0.2500 0.2500 0.1539
Co1 0.2500 0.7500 0.5000
Si1 0.2500 0.2500 0.6468
C1 0.2500 0.2500 0.8624
```

=====

# K3Pa2SnN6

K3Pa2SnN6 after structural relaxation (GGA-PBE, the Alexandria database).

Calculated density   6.257 g cm⁻³
M_tot   1.012 μB/f.u.
Formation energy (no corrections)   -611 meV per atom

The structure in CIF format:
```
data_K3Pa2SnN6
_chemical_formula_sum 'K6 Pa4 Sn2 N12'
_space_group_name_H-M_alt 'C 1 2/m 1'
_space_group_IT_number 12
_cell_length_a 5.8590
_cell_length_b 10.9006
_cell_length_c 6.7362
_cell_angle_alpha 90.00
_cell_angle_beta 105.21
_cell_angle_gamma 90.00
loop_
_space_group_symop_operation_xyz
'x,y,z'
'-x,-y,-z'
'-x,y,-z'
'x,-y,z'
'x+1/2,y+1/2,z'
'-x+1/2,-y+1/2,-z'
'-x+1/2,y+1/2,-z'
'x+1/2,-y+1/2,z'
loop_
_atom_site_label
_atom_site_fract_x
_atom_site_fract_y
_atom_site_fract_z
K1 0.0000 0.0000 0.0000
K2 0.0000 0.3393 0.0000
Pa1 0.0000 0.1643 0.5000
Sn1 0.0000 0.5000 0.5000
N1 0.2321 0.0000 0.6734
N2 0.2380 0.3294 0.6747
```

=====

# TePdI2

TePdI2 after structural relaxation (GGA-PBE, the Alexandria database).

Calculated density   6.041 g cm⁻³
M_tot   0.000 μB/f.u.
E above lowest polymorph   16.52 kJ per mole of atoms
Formation energy (no corrections)   -63 meV per atom

The structure in CIF format:
```
data_TePdI2
_chemical_formula_sum 'Te2 Pd2 I4'
_space_group_name_H-M_alt 'C 1 m 1'
_space_group_IT_number 8
_cell_length_a 8.1872
_cell_length_b 3.1384
_cell_length_c 10.5269
_cell_angle_alpha 90.00
_cell_angle_beta 97.50
_cell_angle_gamma 90.00
loop_
_space_group_symop_operation_xyz
'x,y,z'
'x,-y,z'
'x+1/2,y+1/2,z'
'x+1/2,-y+1/2,z'
loop_
_atom_site_label
_atom_site_fract_x
_atom_site_fract_y
_atom_site_fract_z
Te1 0.0000 0.0000 0.0000
Pd1 0.2742 0.0000 0.8702
I1 0.1663 0.5000 0.6488
I2 0.3361 0.5000 0.2823
```

=====

# CaIr2Pt

CaIr2Pt after structural relaxation (GGA-PBE, the Alexandria database).

Calculated density   14.782 g cm⁻³
M_tot   0.000 μB/f.u.
E above lowest polymorph   1.82 kJ per mole of atoms

The structure in CIF format:
```
data_CaIr2Pt
_chemical_formula_sum 'Ca1 Ir2 Pt1'
_space_group_name_H-M_alt 'P m m 2'
_space_group_IT_number 25
_cell_length_a 2.8349
_cell_length_b 3.9846
_cell_length_c 6.1617
_cell_angle_alpha 90.00
_cell_angle_beta 90.00
_cell_angle_gamma 90.00
loop_
_space_group_symop_operation_xyz
'x,y,z'
'-x,-y,z'
'-x,y,z'
'x,-y,z'
loop_
_atom_site_label
_atom_site_fract_x
_atom_site_fract_y
_atom_site_fract_z
Ca1 0.0000 0.0000 0.0000
Ir1 0.0000 0.0000 0.4761
Ir2 0.5000 0.5000 0.3085
Pt1 0.5000 0.5000 0.7380
```

=====

# Rb2CaMgSb2

Rb2CaMgSb2 after structural relaxation (GGA-PBE, the Alexandria database).

Calculated density   3.462 g cm⁻³
M_tot   0.000 μB/f.u.
Formation energy (no corrections)   -686 meV per atom

The structure in CIF format:
```
data_Rb2CaMgSb2
_chemical_formula_sum 'Rb8 Ca4 Mg4 Sb8'
_space_group_name_H-M_alt 'I b a m'
_space_group_IT_number 72
_space_group_name_Hall '-I 2 2c'
_cell_length_a 7.3288
_cell_length_b 17.0375
_cell_length_c 7.3585
_cell_angle_alpha 90.00
_cell_angle_beta 90.00
_cell_angle_gamma 90.00
loop_
_atom_site_label
_atom_site_fract_x
_atom_site_fract_y
_atom_site_fract_z
Rb1 0.2379 0.1784 0.0000
Ca1 0.0000 0.5000 0.2500
Mg1 0.0000 0.0000 0.2500
Sb1 0.2324 0.0957 0.5000
```